Density functional theory data (GGA-PBE) for a geometry-optimized Sm2Zn2Pd5Au structure.

Calculated values
VASP energy   -4.7681 eV/atom
Formation enthalpy at 0 K   -645 meV/atom

a b c (Å): 3.8931 9.6491 9.6491
angles (deg): 90.00 90.00 90.00
Fractional coordinates of all 20 atoms:
1 Sm 0.0000 0.6804 0.1804
2 Sm 0.0000 0.3196 0.8196
3 Sm 0.0000 0.1804 0.3196
4 Sm 0.0000 0.8196 0.6804
5 Zn 0.0000 0.1171 0.6171
6 Zn 0.0000 0.8829 0.3829
7 Zn 0.0000 0.6171 0.8829
8 Zn 0.0000 0.3829 0.1171
9 Pd 0.5000 0.2068 0.0670
10 Pd 0.5000 0.7932 0.9330
11 Pd 0.5000 0.0670 0.7932
12 Pd 0.5000 0.7068 0.4330
13 Pd 0.5000 0.9330 0.2068
14 Pd 0.5000 0.2932 0.5670
15 Pd 0.5000 0.5670 0.7068
16 Pd 0.5000 0.4330 0.2932
17 Pd 0.5000 0.5000 0.0000
18 Pd 0.5000 0.0000 0.5000
19 Au 0.0000 0.0000 0.0000
20 Au 0.0000 0.5000 0.5000

---

Density functional theory data (GGA-PBE) for a geometry-optimized SmZn2PdAu5 structure.

Calculated values
VASP energy   -3.4187 eV/atom
Formation enthalpy at 0 K   -213 meV/atom

a b c (Å): 4.8816 4.8816 7.4357
angles (deg): 90.00 90.00 90.00
Fractional coordinates of all 9 atoms:
1 Sm 0.0000 0.0000 0.5000
2 Zn 0.5000 0.5000 0.1564
3 Zn 0.5000 0.5000 0.8436
4 Pd 0.0000 0.0000 0.0000
5 Au 0.0000 0.5000 0.2341
6 Au 0.5000 0.0000 0.2341
7 Au 0.0000 0.5000 0.7659
8 Au 0.5000 0.0000 0.7659
9 Au 0.5000 0.5000 0.5000

---

Density functional theory data (GGA-PBE) for a geometry-optimized SnPd4Au7 structure.

Calculated values
VASP energy   -3.9044 eV/atom
Formation enthalpy at 0 K   72 meV/atom

a b c (Å): 5.0803 9.0065 5.8007
angles (deg): 83.84 64.03 73.62
Fractional coordinates of all 12 atoms:
1 Sn 0.0000 0.0000 0.0000
2 Pd 0.5826 0.2309 0.6038
3 Pd 0.4174 0.7691 0.3962
4 Pd 0.7263 0.6868 0.8606
5 Pd 0.2737 0.3132 0.1394
6 Au 0.7977 0.9154 0.4892
7 Au 0.2023 0.0846 0.5108
8 Au 0.0403 0.6189 0.3004
9 Au 0.9597 0.3811 0.6996
10 Au 0.3416 0.5465 0.7703
11 Au 0.5000 0.0000 0.0000
12 Au 0.6584 0.4535 0.2297

---

Density functional theory data (GGA-PBE) for a geometry-optimized Sn4PdAu3 structure.

Calculated values
VASP energy   -4.0827 eV/atom
Formation enthalpy at 0 K   -203 meV/atom

a b c (Å): 7.3379 7.1382 7.1639
angles (deg): 90.00 90.00 106.92
Fractional coordinates of all 16 atoms:
1 Au 0.7500 0.0000 0.4242
2 Au 0.2500 0.0000 0.5758
3 Au 0.7500 0.5000 0.6692
4 Au 0.7500 0.5000 0.0689
5 Au 0.2500 0.5000 0.3308
6 Au 0.2500 0.5000 0.9311
7 Sn 0.0336 0.2891 0.6331
8 Sn 0.4674 0.1910 0.8825
9 Sn 0.5336 0.2891 0.3669
10 Sn 0.9674 0.1910 0.1175
11 Sn 0.0326 0.8090 0.8825
12 Sn 0.4664 0.7109 0.6331
13 Sn 0.5326 0.8090 0.1175
14 Sn 0.9664 0.7109 0.3669
15 Pd 0.7500 0.0000 0.8203
16 Pd 0.2500 0.0000 0.1797